The following is a PBE calculation of a geometry-optimized CeEr4ScS8 structure, from Alexandria via LeMat-Bulk.

DOS(E_F): 0.884 states/eV/atom
size of the total moment: 1.8 μB/f.u.
formation energy without anion corrections: -26.35 eV/f.u.

Cell lengths 8.0455, 8.0455, 19.2537 Å; angles 90.00, 90.00, 120.00 degrees
Space group R3m (No. 160, hexagonal axes)
Unique sites:
Ce1 0.0000 0.0000 0.0000 (multiplicity 3)
Er1 0.0000 0.0000 0.2416 (multiplicity 3)
Er2 0.0000 0.5000 0.1200 (multiplicity 9)
Sc1 0.0000 0.0000 0.6201 (multiplicity 3)
S1 0.0000 0.0000 0.3762 (multiplicity 3)
S2 0.0000 0.0000 0.8595 (multiplicity 3)
S3 0.0397 0.5198 0.3713 (multiplicity 9)
S4 0.1794 0.3587 0.2034 (multiplicity 9)